Density functional theory data (PBE-GGA) for a geometry-optimized KPrMnS3 structure.

a b c (Å): 8.9203 4.1966 9.5566
angles (deg): 90.00 104.17 90.00
Space group P2_1/m (No. 11)
Unique sites:
K  0.1893  0.2500  0.2163 (multiplicity 2)
Pr  0.3381  0.7500  0.8503 (multiplicity 2)
Mn  0.0866  0.2500  0.6056 (multiplicity 2)
S  0.1150  0.2500  0.8541 (multiplicity 2)
S  0.1881  0.7500  0.5286 (multiplicity 2)
S  0.4473  0.7500  0.1536 (multiplicity 2)

Summary:
For the total energy, the calculation gives -5.95 eV per atom. The value obtained for the mass density is 3.2 g/cm³. Its uncorrected formation energy is -1.3740 eV/atom.